<w>
The following is a PBE calculation of Ag2OsAu after structural relaxation, from the Alexandria database.

Properties
**N(E_F)**: 1.257 states/eV per atom
**V**: 67.8 Å³/cell
**Size of the total moment**: 0.893 Bohr magnetons per cell

Cell: 3.9615 3.9615 4.3197 Å, 90.00 90.00 90.00°
Fractional positions:
Ag 0.0000 0.5000 0.0000
Ag 0.5000 0.0000 0.0000
Os 0.0000 0.0000 0.5000
Au 0.5000 0.5000 0.5000

=====

<x>
The following is a PBE calculation of Ag2OsAu after structural relaxation, from the Alexandria database.

Properties
**N(E_F)**: 0.669 states/eV per atom
**V**: 67.3 Å³/cell
**Size of the total moment**: 0.000 Bohr magnetons per cell

Cell: 5.0419 5.0419 5.1724 Å, 98.22 98.22 31.19°
Fractional positions:
Ag 0.0000 0.0000 0.0000
Ag 0.2448 0.2448 0.7687
Os 0.7451 0.7451 0.2719
Au 0.4885 0.4885 0.4860

=====

<y>
The following is a PBE calculation of Ag2OsAu after structural relaxation, from the Alexandria database.

Properties
**N(E_F)**: 0.778 states/eV per atom
**V**: 68.2 Å³/cell
**Size of the total moment**: 1.926 Bohr magnetons per cell

Cell: 4.8589 4.8589 4.8589 Å, 128.59 128.59 75.67°
Fractional positions:
Ag 0.0000 0.0000 0.0000
Ag 0.7500 0.2500 0.5000
Os 0.5000 0.5000 0.0000
Au 0.2500 0.7500 0.5000

=====

<z>
The following is a PBE calculation of Ag2OsAu after structural relaxation, from the Alexandria database.

Properties
**N(E_F)**: 0.624 states/eV per atom
**V**: 66.8 Å³/cell
**Size of the total moment**: 0.000 Bohr magnetons per cell

Cell: 5.0580 2.7166 5.1448 Å, 90.00 109.02 90.00°
Fractional positions:
Ag 0.0000 0.0000 0.0000
Ag 0.5000 0.5000 0.0000
Os 0.0000 0.5000 0.5000
Au 0.5000 0.0000 0.5000

=====

Verdict on stability: <w> comes out at the bottom.